[1]
A plane-wave DFT calculation with PBE was carried out for MnReOs2 after structural relaxation.

Cell lengths 2.7134, 2.7134, 7.5015 Å; angles 90.00, 90.00, 90.00 degrees
Site moments in Bohr magnetons follow the coordinates.
Fractional positions:
Os 0.0000 0.0000 0.5123  -0.12
Os 0.0000 0.0000 0.9877  -0.12
Mn 0.5000 0.5000 0.7500  1.31
Re 0.5000 0.5000 0.2500  0.09

Calculated values
Space group: P4/mmm
Crystal system: tetragonal
Calculated formation energy in eV/f.u.: 0.3
ΔE to the lowest computed polymorph in meV per atom: 26
Total magnetization in μB/cell: 1.2

[2]
A plane-wave DFT calculation with PBE was carried out for MnRe2Os after structural relaxation.

Cell lengths 3.7114, 3.7114, 9.5307 Å; angles 78.77, 78.77, 90.00 degrees
Site moments in Bohr magnetons follow the coordinates.
Fractional positions:
Mn 0.5000 0.5000 0.0000  2.99
Mn 0.2500 0.7500 0.5000  2.99
Re 0.3750 0.4052 0.7500  0.02
Re 0.8750 0.8448 0.7500  0.02
Re 0.1552 0.6250 0.2500  0.00
Re 0.5948 0.1250 0.2500  -0.01
Os 0.0000 0.0000 0.0000  -0.02
Os 0.7500 0.2500 0.5000  -0.02

Calculated values
Space group: I-42d
Crystal system: tetragonal
Calculated formation energy in eV/f.u.: 3.2
ΔE to the lowest computed polymorph in meV per atom: 746
Total magnetization in μB/cell: 6.3

[3]
A plane-wave DFT calculation with PBE was carried out for MnReOs2 after structural relaxation.

Cell lengths 2.7104, 4.6785, 5.3854 Å; angles 54.76, 90.00, 90.00 degrees
Site moments in Bohr magnetons follow the coordinates.
Fractional positions:
Os 0.0000 0.0000 0.0000  -0.06
Os 0.5000 0.5000 0.0000  -0.20
Re 0.5000 0.5000 0.5000  -0.25
Mn 0.0000 0.0000 0.5000  1.74

Calculated values
Space group: P2/m
Crystal system: monoclinic
Calculated formation energy in eV/f.u.: 0.4
ΔE to the lowest computed polymorph in meV per atom: 34
Total magnetization in μB/cell: 1.3

[4]
A plane-wave DFT calculation with PBE was carried out for MnRe2Os after structural relaxation.

Cell lengths 2.6916, 2.6916, 8.7619 Å; angles 90.00, 90.00, 114.01 degrees
Site moments in Bohr magnetons follow the coordinates.
Fractional positions:
Re 0.0000 0.0000 0.0008  -0.01
Re 0.5000 0.5000 0.2583  -0.07
Os 0.5000 0.5000 0.7411  0.02
Mn 0.0000 0.0000 0.4998  2.73

Calculated values
Space group: Cmm2
Crystal system: orthorhombic
Calculated formation energy in eV/f.u.: 1.3
ΔE to the lowest computed polymorph in meV per atom: 285
Total magnetization in μB/cell: 2.7

[5]
A plane-wave DFT calculation with PBE was carried out for MnReOs3 after structural relaxation.

Cell lengths 4.3546, 4.3546, 4.3546 Å; angles 90.00, 90.00, 90.00 degrees
Site moments in Bohr magnetons follow the coordinates.
Fractional positions:
Re 0.5000 0.5000 0.5000  0.93
Os 0.5000 0.0000 0.0000  0.02
Os 0.0000 0.0000 0.5000  -0.01
Os 0.0000 0.5000 0.0000  0.06
Mn 0.0000 0.0000 0.0000  0.27

Calculated values
Space group: Pm-3m
Crystal system: cubic
Calculated formation energy in eV/f.u.: 9.7
ΔE to the lowest computed polymorph in meV per atom: 1489
Total magnetization in μB/cell: 1.4

[6]
A plane-wave DFT calculation with PBE was carried out for MnRe2Os after structural relaxation.

Cell lengths 4.6762, 4.6762, 4.6762 Å; angles 131.44, 131.44, 71.12 degrees
Site moments in Bohr magnetons follow the coordinates.
Fractional positions:
Re 0.0000 0.0000 0.0000  -0.02
Re 0.2500 0.7500 0.5000  -0.19
Os 0.7500 0.2500 0.5000  -0.11
Mn 0.5000 0.5000 0.0000  1.69

Calculated values
Space group: I-4m2
Crystal system: tetragonal
Calculated formation energy in eV/f.u.: 0.2
ΔE to the lowest computed polymorph in meV per atom: 12
Total magnetization in μB/cell: 1.4

[7]
A plane-wave DFT calculation with PBE was carried out for MnRe2Os after structural relaxation.

Cell lengths 2.7157, 2.7157, 7.5363 Å; angles 90.00, 90.00, 90.02 degrees
Site moments in Bohr magnetons follow the coordinates.
Fractional positions:
Mn 0.5000 0.5000 0.2500  0.87
Os 0.5000 0.5000 0.7500  0.11
Re 0.0000 0.0000 0.4867  -0.12
Re 0.0000 0.0000 0.0133  -0.12

Calculated values
Space group: P4/mmm
Crystal system: tetragonal
Calculated formation energy in eV/f.u.: 0.3
ΔE to the lowest computed polymorph in meV per atom: 26
Total magnetization in μB/cell: 0.8

[8]
A plane-wave DFT calculation with PBE was carried out for MnReOs2 after structural relaxation.

Cell lengths 2.6797, 2.6797, 8.9050 Å; angles 90.00, 90.00, 115.73 degrees
Site moments in Bohr magnetons follow the coordinates.
Fractional positions:
Re 0.0000 0.0000 0.5081  -0.08
Os 0.0000 0.0000 0.9893  0.06
Os 0.5000 0.5000 0.2524  -0.12
Mn 0.5000 0.5000 0.7502  2.69

Calculated values
Space group: Cmm2
Crystal system: orthorhombic
Calculated formation energy in eV/f.u.: 1.8
ΔE to the lowest computed polymorph in meV per atom: 394
Total magnetization in μB/cell: 2.6

[9]
A plane-wave DFT calculation with PBE was carried out for MnReOs2 after structural relaxation.

Cell lengths 4.6824, 4.6824, 4.6714 Å; angles 80.69, 80.69, 33.71 degrees
Site moments in Bohr magnetons follow the coordinates.
Fractional positions:
Mn 0.2504 0.2504 0.2480  1.97
Os 0.7484 0.7484 0.7545  -0.11
Os 0.0034 0.0034 0.9993  -0.05
Re 0.4978 0.4978 0.4982  -0.08

Calculated values
Space group: Cm
Crystal system: monoclinic
Calculated formation energy in eV/f.u.: 0.4
ΔE to the lowest computed polymorph in meV per atom: 34
Total magnetization in μB/cell: 1.8

[10]
A plane-wave DFT calculation with PBE was carried out for MnReOs2 after structural relaxation.

Cell lengths 8.8825, 8.8825, 8.8825 Å; angles 17.55, 17.55, 17.55 degrees
Site moments in Bohr magnetons follow the coordinates.
Fractional positions:
Mn 0.7486 0.7486 0.7486  1.16
Os 0.0042 0.0042 0.0042  -0.09
Os 0.2496 0.2496 0.2496  -0.07
Re 0.4976 0.4976 0.4976  -0.09

Calculated values
Space group: R3m
Crystal system: trigonal
Calculated formation energy in eV/f.u.: 0.5
ΔE to the lowest computed polymorph in meV per atom: 76
Total magnetization in μB/cell: 0.9

[11]
A plane-wave DFT calculation with PBE was carried out for MnRe2Os after structural relaxation.

Cell lengths 3.8247, 3.8248, 3.8457 Å; angles 90.00, 90.00, 90.00 degrees
Site moments in Bohr magnetons follow the coordinates.
Fractional positions:
Os 0.0000 0.5000 0.5000  -0.09
Re 0.0000 0.0000 0.0000  -0.18
Re 0.5000 0.5000 0.0000  -0.18
Mn 0.5000 0.0000 0.5000  1.83

Calculated values
Space group: P4/mmm
Crystal system: tetragonal
Calculated formation energy in eV/f.u.: 0.2
ΔE to the lowest computed polymorph in meV per atom: 4
Total magnetization in μB/cell: 1.4

[12]
A plane-wave DFT calculation with PBE was carried out for MnRe2Os after structural relaxation.

Cell lengths 3.8079, 2.7222, 6.0539 Å; angles 63.33, 90.00, 90.00 degrees
Site moments in Bohr magnetons follow the coordinates.
Fractional positions:
Re 0.0000 0.5094 0.4904  -0.16
Re 0.0000 0.9906 0.0096  -0.16
Os 0.5000 0.7500 0.7500  0.12
Mn 0.5000 0.2500 0.2500  1.43

Calculated values
Space group: Pmmm
Crystal system: orthorhombic
Calculated formation energy in eV/f.u.: 0.2
ΔE to the lowest computed polymorph in meV per atom: 12
Total magnetization in μB/cell: 1.3

[13]
A plane-wave DFT calculation with PBE was carried out for MnReOs2 after structural relaxation.

Cell lengths 4.6556, 4.6556, 4.6886 Å; angles 80.51, 80.51, 33.88 degrees
Site moments in Bohr magnetons follow the coordinates.
Fractional positions:
Os 0.9998 0.9998 0.0044  -0.09
Os 0.5002 0.5002 0.4956  -0.09
Mn 0.2500 0.2500 0.2500  1.82
Re 0.7500 0.7500 0.7500  -0.13

Calculated values
Space group: C2/m
Crystal system: monoclinic
Calculated formation energy in eV/f.u.: 0.4
ΔE to the lowest computed polymorph in meV per atom: 32
Total magnetization in μB/cell: 1.6

[14]
A plane-wave DFT calculation with PBE was carried out for MnReOs2 after structural relaxation.

Cell lengths 4.6648, 4.6648, 2.7228 Å; angles 90.00, 90.00, 109.26 degrees
Site moments in Bohr magnetons follow the coordinates.
Fractional positions:
Os 0.0000 0.0000 0.0000  -0.19
Os 0.5000 0.5000 0.0000  -0.19
Mn 0.0000 0.5000 0.5000  1.84
Re 0.5000 0.0000 0.5000  -0.10

Calculated values
Space group: Cmmm
Crystal system: orthorhombic
Calculated formation energy in eV/f.u.: 0.4
ΔE to the lowest computed polymorph in meV per atom: 33
Total magnetization in μB/cell: 1.4

[15]
A plane-wave DFT calculation with PBE was carried out for MnRe2Os after structural relaxation.

Cell lengths 4.4951, 4.4951, 2.8701 Å; angles 90.00, 90.00, 90.00 degrees
Site moments in Bohr magnetons follow the coordinates.
Fractional positions:
Mn 0.5000 0.0000 0.5000  2.87
Re 0.0000 0.0000 0.0000  -0.04
Re 0.5000 0.5000 0.0000  -0.04
Os 0.0000 0.5000 0.5000  0.11

Calculated values
Space group: P4/mmm
Crystal system: tetragonal
Calculated formation energy in eV/f.u.: 1.3
ΔE to the lowest computed polymorph in meV per atom: 268
Total magnetization in μB/cell: 3.0

[16]
A plane-wave DFT calculation with PBE was carried out for MnReOs2 after structural relaxation.

Cell lengths 4.4703, 4.4703, 2.8895 Å; angles 90.00, 90.00, 90.00 degrees
Site moments in Bohr magnetons follow the coordinates.
Fractional positions:
Os 0.5000 0.5000 0.0000  0.05
Os 0.0000 0.0000 0.0000  0.05
Re 0.5000 0.0000 0.5000  -0.06
Mn 0.0000 0.5000 0.5000  3.09

Calculated values
Space group: P4/mmm
Crystal system: tetragonal
Calculated formation energy in eV/f.u.: 1.3
ΔE to the lowest computed polymorph in meV per atom: 281
Total magnetization in μB/cell: 3.2

[17]
A plane-wave DFT calculation with PBE was carried out for MnReOs2 after structural relaxation.

Cell lengths 4.3352, 4.3352, 4.3352 Å; angles 60.00, 60.00, 60.00 degrees
Site moments in Bohr magnetons follow the coordinates.
Fractional positions:
Os 0.7500 0.7500 0.7500  0.26
Os 0.2500 0.2500 0.2500  0.26
Re 0.5000 0.5000 0.5000  -0.19
Mn 0.0000 0.0000 0.0000  3.24

Calculated values
Space group: Fm-3m
Crystal system: cubic
Calculated formation energy in eV/f.u.: 1.3
ΔE to the lowest computed polymorph in meV per atom: 268
Total magnetization in μB/cell: 3.7

[18]
A plane-wave DFT calculation with PBE was carried out for MnRe2Os after structural relaxation.

Cell lengths 4.3307, 4.3307, 4.3307 Å; angles 60.00, 60.00, 60.00 degrees
Site moments in Bohr magnetons follow the coordinates.
Fractional positions:
Os 0.5000 0.5000 0.5000  -0.03
Re 0.2500 0.2500 0.2500  0.04
Re 0.7500 0.7500 0.7500  0.04
Mn 0.0000 0.0000 0.0000  2.52

Calculated values
Space group: Fm-3m
Crystal system: cubic
Calculated formation energy in eV/f.u.: 1.3
ΔE to the lowest computed polymorph in meV per atom: 286
Total magnetization in μB/cell: 2.6

[19]
A plane-wave DFT calculation with PBE was carried out for MnReOs2 after structural relaxation.

Cell lengths 8.8942, 8.8942, 8.8942 Å; angles 17.53, 17.53, 17.53 degrees
Site moments in Bohr magnetons follow the coordinates.
Fractional positions:
Re 0.2500 0.2500 0.2500  -0.01
Mn 0.7500 0.7500 0.7500  1.48
Os 0.4966 0.4966 0.4966  -0.06
Os 0.0034 0.0034 0.0034  -0.06

Calculated values
Space group: R-3m
Crystal system: trigonal
Calculated formation energy in eV/f.u.: 0.4
ΔE to the lowest computed polymorph in meV per atom: 49
Total magnetization in μB/cell: 1.4

[20]
A plane-wave DFT calculation with PBE was carried out for Mn5ReOs after structural relaxation.

Cell lengths 4.5947, 7.6415, 9.8016 Å; angles 90.00, 90.00, 90.00 degrees
Site moments in Bohr magnetons follow the coordinates.
Fractional positions:
Os 0.2500 0.3674 0.6509  -0.09
Os 0.7500 0.6326 0.3491  -0.09
Os 0.7500 0.1326 0.1509  -0.09
Os 0.2500 0.8674 0.8491  -0.09
Mn 0.0086 0.0729 0.6891  -0.10
Mn 0.4914 0.5729 0.8109  -0.10
Mn 0.5086 0.4271 0.1891  -0.10
Mn 0.7500 0.9116 0.5224  0.48
Mn 0.7500 0.5467 0.5814  2.28
Mn 0.2500 0.4533 0.4186  2.28
Mn 0.7500 0.8073 0.7448  -0.29
Mn 0.9914 0.4271 0.1891  -0.10
Mn 0.2500 0.9533 0.0814  2.28
Mn 0.5086 0.9271 0.3109  -0.10
Mn 0.2500 0.5884 0.0224  0.48
Mn 0.2500 0.0884 0.4776  0.48
Mn 0.0086 0.5729 0.8109  -0.10
Mn 0.4914 0.0729 0.6891  -0.10
Mn 0.2500 0.1927 0.2552  -0.29
Mn 0.7500 0.4116 0.9776  0.48
Mn 0.7500 0.3073 0.7552  -0.29
Mn 0.7500 0.0467 0.9186  2.28
Mn 0.2500 0.6927 0.2448  -0.29
Mn 0.9914 0.9271 0.3109  -0.10
Re 0.2500 0.2556 0.9369  -0.17
Re 0.7500 0.2444 0.4369  -0.17
Re 0.7500 0.7444 0.0631  -0.17
Re 0.2500 0.7556 0.5631  -0.17

Calculated values
Space group: Pnma
Crystal system: orthorhombic
Calculated formation energy in eV/f.u.: 0.8
Total magnetization in μB/cell: 8.2